No. 1
A plane-wave DFT calculation with PBE-GGA was carried out for a geometry-optimized Tm3MnC structure.

The structure belongs to space group Pm-3m (No. 221); the cell edges are 4.821, 4.821 and 4.821 Å and the angles 90.00°, 90.00° and 90.00°. The asymmetric unit holds Tm at (0.000, 0.000, 0.500), Mn at (0.500, 0.500, 0.500) and C at (0.000, 0.000, 0.000).

The total magnetic moment is 4.4 μB/f.u. The value obtained for the formation energy is 0.002 eV per atom.

***

No. 2
A plane-wave DFT calculation with PBE-GGA was carried out for a geometry-optimized CsLiPbI2 structure.

The structure belongs to space group P4/mmm (No. 123); the cell edges are 5.925, 5.925 and 5.446 Å and the angles 90.00°, 90.00° and 90.00°. The asymmetric unit holds Cs at (0.000, 0.000, 0.000), Li at (0.500, 0.500, 0.500), Pb at (0.500, 0.500, 0.000) and I at (0.000, 0.500, 0.500).

The total magnetic moment is 0.0 μB/f.u. As for the uncorrected formation energy: -0.583 eV per atom.

***

No. 3
A plane-wave DFT calculation with PBE-GGA was carried out for a geometry-optimized AgMo2P structure.

The structure belongs to space group Pm (No. 6); the cell edges are 2.921, 4.399 and 5.220 Å and the angles 90.00°, 106.05° and 90.00°. The asymmetric unit holds Ag at (0.000, 0.000, 0.000), Mo at (0.269, 0.000, 0.528), Mo at (0.641, 0.500, 0.282) and P at (0.347, 0.500, 0.697).

The total magnetic moment is 0.0 μB/f.u. The value obtained for the formation energy is 0.278 eV per atom.

***

No. 4
A plane-wave DFT calculation with PBE-GGA was carried out for a geometry-optimized TbCr4 structure.

The structure belongs to space group Pm-3m (No. 221); the cell edges are 4.826, 4.826 and 4.826 Å and the angles 90.00°, 90.00° and 90.00°. The asymmetric unit holds Tb at (0.000, 0.000, 0.000), Cr at (0.000, 0.000, 0.500) and Cr at (0.500, 0.500, 0.500).

The total magnetic moment is 5.9 μB/f.u. The value obtained for the formation energy is 2.079 eV per atom.

***

No. 5
A plane-wave DFT calculation with PBE-GGA was carried out for a geometry-optimized PuAgBO5 structure.

The structure belongs to space group C2/c (No. 15); the cell edges are 7.067, 8.484 and 7.755 Å and the angles 90.00°, 115.54° and 90.00°. The asymmetric unit holds Pu at (0.250, 0.250, 0.000), Ag at (0.000, 0.090, 0.250), B at (0.000, 0.432, 0.250), O at (0.000, 0.165, 0.750), O at (0.049, 0.326, 0.123) and O at (0.184, 0.467, 0.863).

The total magnetic moment is 2.0 μB/f.u. As for the uncorrected formation energy: -1.916 eV per atom.

***

No. 6
A plane-wave DFT calculation with PBE-GGA was carried out for a geometry-optimized BaMn2Zn structure.

The structure belongs to space group P4/mmm (No. 123); the cell edges are 4.582, 4.582 and 4.782 Å and the angles 90.00°, 90.00° and 90.00°. The asymmetric unit holds Ba at (0.000, 0.000, 0.000), Mn at (0.000, 0.500, 0.500) and Zn at (0.500, 0.500, 0.000).

The total magnetic moment is 8.0 μB/f.u. The value obtained for the formation energy is 0.771 eV per atom.

***

Please write out number 6 again, unchanged.
A plane-wave DFT calculation with PBE-GGA was carried out for a geometry-optimized BaMn2Zn structure.

The structure belongs to space group P4/mmm (No. 123); the cell edges are 4.582, 4.582 and 4.782 Å and the angles 90.00°, 90.00° and 90.00°. The asymmetric unit holds Ba at (0.000, 0.000, 0.000), Mn at (0.000, 0.500, 0.500) and Zn at (0.500, 0.500, 0.000).

The total magnetic moment is 8.0 μB/f.u. The value obtained for the formation energy is 0.771 eV per atom.

***

Please write out number 1 again, unchanged.
A plane-wave DFT calculation with PBE-GGA was carried out for a geometry-optimized Tm3MnC structure.

The structure belongs to space group Pm-3m (No. 221); the cell edges are 4.821, 4.821 and 4.821 Å and the angles 90.00°, 90.00° and 90.00°. The asymmetric unit holds Tm at (0.000, 0.000, 0.500), Mn at (0.500, 0.500, 0.500) and C at (0.000, 0.000, 0.000).

The total magnetic moment is 4.4 μB/f.u. The value obtained for the formation energy is 0.002 eV per atom.

***

Question: total magnetic moment of number 2 (CsLiPbI2)?
Answer: 0.0 μB/f.u.